(1)
Density functional theory data (PBE) for an optimized crystal structure of Dy3SbP2Rh9.

Geometry as POSCAR:
```
Dy3SbP2Rh9
1.0
6.0605 0.0000 0.0000
-3.0303 5.2486 0.0000
0.0000 0.0000 9.2124
Dy Sb P Rh
3 1 2 9
direct
0.3333 0.6667 0.7272
0.0000 0.0000 0.0000
0.6667 0.3333 0.2728
0.0000 0.0000 0.5000
0.3333 0.6667 0.1603
0.6667 0.3333 0.8397
0.8493 0.1507 0.7285
0.8493 0.6986 0.7285
0.3014 0.1507 0.7285
0.6986 0.8493 0.2715
0.1507 0.3014 0.2715
0.1507 0.8493 0.2715
0.5000 0.0000 0.0000
0.0000 0.5000 0.0000
0.5000 0.5000 0.0000
```

Uncorrected formation energy, eV/f.u.: -10.1
DOS(E_F), states/eV/f.u.: 8.7

(2)
Density functional theory data (PBE) for an optimized crystal structure of Pm2TlBi.

Geometry as POSCAR:
```
Pm2TlBi
1.0
4.2776 0.0000 0.0000
0.0000 8.4722 0.0000
0.0000 0.0000 14.7943
Pm Tl Bi
8 4 4
direct
0.7500 0.3061 0.5074
0.2500 0.6939 0.4926
0.7500 0.8061 0.9926
0.2500 0.1939 0.0074
0.7500 0.1869 0.7624
0.2500 0.3131 0.2624
0.7500 0.6869 0.7376
0.2500 0.8131 0.2376
0.2500 0.5475 0.0823
0.2500 0.0475 0.4177
0.7500 0.4525 0.9177
0.7500 0.9525 0.5823
0.7500 0.0692 0.1590
0.2500 0.9308 0.8410
0.7500 0.5692 0.3410
0.2500 0.4308 0.6590
```

Energy relative to the lowest polymorph listed for this composition, kJ per mole of atoms: 12.8
DOS(E_F), states/eV/f.u.: 3.1

(3)
Density functional theory data (PBE) for an optimized crystal structure of LaCd2Hg2.

Geometry as POSCAR:
```
LaCd2Hg2
1.0
5.7304 -0.6201 -0.9111
2.0487 6.2558 -0.3064
1.1031 0.0160 6.9099
La Cd Hg
2 4 4
direct
0.8373 0.7370 0.2523
0.1627 0.2630 0.7477
0.3943 0.4424 0.2474
0.9654 0.7842 0.7511
0.0346 0.2158 0.2489
0.6057 0.5576 0.7526
0.3224 0.8508 0.0266
0.6773 0.1521 0.5251
0.6776 0.1492 0.9734
0.3227 0.8479 0.4749
```

Energy relative to the lowest polymorph listed for this composition, kJ per mole of atoms: 5.1
DOS(E_F), states/eV/f.u.: 2.4

(4)
Density functional theory data (PBE) for an optimized crystal structure of AcLuAs3.

Geometry as POSCAR:
```
AcLuAs3
1.0
-3.9779 -3.1554 1.3416
3.3048 -2.9808 2.7882
-0.9138 2.9562 4.2434
Ac Lu As
1 1 3
direct
0.5000 0.5000 0.5000
0.0000 0.0000 0.0000
0.0000 0.5000 0.0000
0.0000 0.0000 0.5000
0.5000 0.0000 0.0000
```

E_tot, eV/cell: -25.62
DOS(E_F), states/eV/f.u.: 2.6

Number 1: spin magnetization 0.00 μB per cell. Number 2: spin magnetization 0.00 μB per cell. Number 3: spin magnetization 0.00 μB per cell. Number 4: spin magnetization 0.00 μB per cell.